Entry from Alexandria via LeMat-Bulk: an optimized crystal structure of Cs2ZrPa3O12 (PBE).

```
Cs2ZrPa3O12
1.0
4.076 2.353 6.420
-4.076 2.353 6.420
0.000 -4.706 6.420
Cs Zr Pa O
2 1 3 12
Direct
0.131 0.131 0.131
0.869 0.869 0.869
0.500 0.500 0.500
0.000 0.500 0.500
0.500 0.000 0.500
0.500 0.500 0.000
0.184 0.184 0.560
0.184 0.560 0.184
0.191 0.561 0.561
0.439 0.439 0.809
0.439 0.809 0.439
0.440 0.816 0.816
0.560 0.184 0.184
0.561 0.191 0.561
0.561 0.561 0.191
0.809 0.439 0.439
0.816 0.440 0.816
0.816 0.816 0.440
```

Results
As for the symmetry: No. 166. As for the crystal system: trigonal. The uncorrected formation energy comes out at -2.836 eV per atom. As for the density of states at the Fermi level: 0.81 states/eV per atom.

---

Entry from Alexandria via LeMat-Bulk: an optimized crystal structure of CsPb2O (PBE).

```
CsPb2O
1.0
-3.904 3.904 5.539
3.904 -3.904 5.539
3.904 3.904 -5.539
Cs Pb O
2 4 2
Direct
0.000 0.000 0.000
0.750 0.250 0.500
0.373 0.625 0.248
0.375 0.623 0.748
0.377 0.125 0.752
0.875 0.627 0.252
0.250 0.750 0.500
0.500 0.500 0.000
```

Results
As for the symmetry: No. 122. As for the crystal system: tetragonal. The uncorrected formation energy comes out at -0.255 eV per atom. As for the density of states at the Fermi level: 0.47 states/eV per atom.

---

Entry from Alexandria via LeMat-Bulk: an optimized crystal structure of CsPbO3 (PBE).

```
CsPbO3
1.0
4.504 0.000 0.000
0.000 4.504 0.000
0.000 0.000 4.504
Cs Pb O
1 1 3
Direct
0.000 0.000 0.000
0.500 0.500 0.500
0.000 0.000 0.500
0.000 0.500 0.000
0.500 0.000 0.000
```

Results
As for the symmetry: No. 221. As for the crystal system: cubic. The uncorrected formation energy comes out at 0.235 eV per atom. As for the density of states at the Fermi level: 0.21 states/eV per atom.

---

Entry from Alexandria via LeMat-Bulk: an optimized crystal structure of Cs4PbO5 (PBE).

```
Cs4PbO5
1.0
-4.530 4.530 3.223
4.530 -4.530 3.223
4.530 4.530 -3.223
Cs Pb O
4 1 5
Direct
0.095 0.705 0.800
0.295 0.095 0.390
0.705 0.905 0.610
0.905 0.295 0.200
0.458 0.458 0.000
0.127 0.127 0.000
0.308 0.461 0.704
0.461 0.757 0.154
0.603 0.308 0.846
0.757 0.603 0.296
```

Results
As for the symmetry: No. 79. As for the crystal system: tetragonal. The uncorrected formation energy comes out at -0.945 eV per atom. As for the density of states at the Fermi level: 0.96 states/eV per atom.

---

Entry from Alexandria via LeMat-Bulk: an optimized crystal structure of Cs2PbO3 (PBE).

```
Cs2PbO3
1.0
5.801 -3.946 0.000
5.801 3.946 0.000
0.000 0.000 6.209
Cs Pb O
4 2 6
Direct
0.018 0.308 0.000
0.308 0.018 0.500
0.692 0.982 0.000
0.982 0.692 0.500
0.412 0.588 0.019
0.588 0.412 0.519
0.151 0.849 0.053
0.366 0.386 0.765
0.386 0.366 0.265
0.614 0.634 0.765
0.634 0.614 0.265
0.849 0.151 0.553
```

Results
As for the symmetry: No. 36. As for the crystal system: orthorhombic. The uncorrected formation energy comes out at -1.205 eV per atom.

---

Entry from Alexandria via LeMat-Bulk: an optimized crystal structure of Cs2PbO2 (PBE).

```
Cs2PbO2
1.0
-2.176 2.176 8.204
2.176 -2.176 8.204
2.176 2.176 -8.204
Cs Pb O
2 1 2
Direct
0.171 0.171 0.000
0.829 0.829 0.000
0.500 0.500 0.000
0.365 0.365 0.000
0.635 0.635 0.000
```

Results
As for the symmetry: No. 139. As for the crystal system: tetragonal. The calculation puts the distance to the lowest polymorph of the same formula at 8.63 kcal/mol of atoms. The uncorrected formation energy comes out at -0.850 eV per atom. As for the density of states at the Fermi level: 0.64 states/eV per atom.